BeCl3, optimized geometry, DFT PBE; distance to the lowest polymorph of the same formula = 84 kJ/mol of formula units; mass density = 1.51 g cm⁻³; D(E_F) = 1.78 states/eV/f.u.; ΔE_f (raw) = -0.575 eV/atom; DFT total energy = -2.892 eV per atom
1.0
-7.398 6.365 3.230
-2.176 -9.866 -1.903
0.597 -0.638 2.626
Be Cl
2 6
Direct
0.333 0.667 0.250 Be
0.667 0.333 0.750 Be
0.767 0.534 0.250 Cl
0.466 0.233 0.250 Cl
0.767 0.233 0.250 Cl
0.233 0.466 0.750 Cl
0.534 0.767 0.750 Cl
0.233 0.767 0.750 Cl

Lu2GaGe, optimized geometry, DFT PBE; mass density = 9.57 g cm⁻³; D(E_F) = 1.92 states/eV/f.u.; DFT total energy = -4.740 eV per atom
1.0
-1.552 3.510 0.778
-1.287 0.422 -4.471
-4.091 -2.028 0.986
Ge Lu Ga
1 2 1
Direct
0.500 0.000 0.000 Ge
0.000 0.000 0.500 Lu
0.000 0.500 0.000 Lu
0.500 0.500 0.500 Ga

Cd2HgAs, optimized geometry, DFT PBE; distance to the lowest polymorph of the same formula = 2 kJ/mol of formula units; mass density = 8.33 g cm⁻³; D(E_F) = 1.15 states/eV/f.u.; DFT total energy = -1.676 eV per atom
1.0
4.333 0.040 -0.070
2.285 3.682 -0.070
1.939 1.090 6.250
As Hg Cd
1 1 2
Direct
0.250 0.250 0.250 As
0.750 0.750 0.750 Hg
0.985 0.985 0.037 Cd
0.515 0.515 0.463 Cd

YTiCu, optimized geometry, DFT PBE; distance to the lowest polymorph of the same formula = 145 kJ/mol of formula units; mass density = 5.74 g cm⁻³; D(E_F) = 3.58 states/eV/f.u.; DFT total energy = -5.684 eV per atom
1.0
-0.292 4.835 0.063
-2.215 -2.515 -3.499
-4.702 -0.326 3.211
Y Cu Ti
2 2 2
Direct
0.333 0.667 0.250 Y
0.667 0.333 0.750 Y
0.000 0.000 0.000 Cu
0.000 0.000 0.500 Cu
0.333 0.667 0.750 Ti
0.667 0.333 0.250 Ti

BaTiSi2Pb, optimized geometry, DFT PBE; distance to the lowest polymorph of the same formula = 201 kJ/mol of formula units; mass density = 4.63 g cm⁻³; D(E_F) = 7.51 states/eV/f.u.; ΔE_f (raw) = 1.720 eV/atom; DFT total energy = -3.154 eV per atom
1.0
5.575 0.000 0.000
0.000 5.182 0.000
0.000 0.000 5.575
Pb Si Ba Ti
1 2 1 1
Direct
0.500 0.500 0.500 Pb
0.000 0.000 0.500 Si
0.500 0.000 0.000 Si
0.000 0.000 0.000 Ba
0.000 0.500 0.000 Ti

Ac3NdNi8, optimized geometry, DFT PBE; mass density = 10.14 g cm⁻³; D(E_F) = 8.27 states/eV/f.u.; DFT total energy = -5.470 eV per atom
1.0
-2.944 -1.073 -4.286
-3.076 -4.326 -0.093
-8.573 2.797 1.901
Ac Nd Ni
3 1 8
Direct
0.377 0.377 0.870 Ac
0.997 0.997 0.010 Ac
0.503 0.503 0.491 Ac
0.873 0.873 0.381 Nd
0.937 0.436 0.191 Ni
0.439 0.939 0.683 Ni
0.436 0.436 0.191 Ni
0.939 0.939 0.683 Ni
0.188 0.188 0.437 Ni
0.687 0.687 0.938 Ni
0.436 0.937 0.191 Ni
0.939 0.439 0.683 Ni

> D(E_F) of number 4 (YTiCu)?

3.58 states/eV/f.u.

> Which of these has the lowest D(E_F)?

Cd2HgAs